No. 1
Computed, not measured: an optimized crystal structure of LiSnN2 at the PBE-GGA level of DFT.

Properties
- Volume: 14.24 Å³/atom
- Mass density: 4.48 Mg/m³
- Formation energy from raw total energies: 358 meV/atom
- DFT total energy: -5.284 eV/atom
- Density of states at the Fermi level: 1.88 states/eV/f.u.

a = 6.307 Å, b = 6.307 Å, c = 6.307 Å
α = 30.41°, β = 30.41°, γ = 30.41°
Element x y z (fractional)
Li (0.000, 0.000, 0.000)
Sn (0.500, 0.500, 0.500)
N (0.895, 0.895, 0.895)
N (0.105, 0.105, 0.105)

No. 2
Computed, not measured: an optimized crystal structure of Na2Sr3CeS6 at the PBE-GGA level of DFT.

Properties
- Volume: 25.72 Å³/atom
- Mass density: 3.45 Mg/m³
- Formation energy from raw total energies: -1828 meV/atom
- DFT total energy: -5.026 eV/atom

a = 7.262 Å, b = 7.262 Å, c = 7.174 Å
α = 99.69°, β = 99.69°, γ = 119.97°
Element x y z (fractional)
Na (0.334, 0.666, 0.000)
Na (0.666, 0.334, 0.000)
Sr (0.172, 0.828, 0.500)
Sr (0.828, 0.172, 0.500)
Sr (0.500, 0.500, 0.500)
Ce (0.000, 0.000, 0.000)
S (0.920, 0.607, 0.761)
S (0.769, 0.769, 0.237)
S (0.080, 0.393, 0.239)
S (0.607, 0.920, 0.761)
S (0.231, 0.231, 0.763)
S (0.393, 0.080, 0.239)

No. 3
Computed, not measured: an optimized crystal structure of Ba2BMoCl at the PBE-GGA level of DFT.

Properties
- Volume: 32.79 Å³/atom
- Mass density: 4.22 Mg/m³
- Formation energy from raw total energies: 913 meV/atom
- DFT total energy: -3.727 eV/atom
- Density of states at the Fermi level: 2.70 states/eV/f.u.

a = 5.955 Å, b = 4.623 Å, c = 5.955 Å
α = 90.00°, β = 90.00°, γ = 90.00°
Element x y z (fractional)
Mo (0.500, 0.500, 0.500)
B (0.000, 0.500, 0.000)
Ba (0.000, 0.000, 0.500)
Ba (0.500, 0.000, 0.000)
Cl (0.000, 0.000, 0.000)

No. 4
Computed, not measured: an optimized crystal structure of K2Na6Sn at the PBE-GGA level of DFT.

Properties
- Offset from the most stable computed form: 6.2 kJ/mol of atoms
- Volume: 41.22 Å³/atom
- Mass density: 1.50 Mg/m³
- Calculated formation energy: 0.02 eV/atom
- DFT total energy: -1.544 eV/atom
- Density of states at the Fermi level: 4.36 states/eV/f.u.

a = 3.709 Å, b = 10.747 Å, c = 10.747 Å
α = 120.00°, β = 90.00°, γ = 90.00°
Element x y z (fractional)
K (0.500, 0.667, 0.333)
K (0.500, 0.333, 0.667)
Na (0.256, 0.000, 0.290)
Na (0.256, 0.710, 0.710)
Na (0.744, 0.000, 0.710)
Na (0.744, 0.710, 0.000)
Na (0.744, 0.290, 0.290)
Na (0.256, 0.290, 0.000)
Sn (0.000, 0.000, 0.000)

No. 5
Computed, not measured: an optimized crystal structure of Fe2BAsOs at the PBE-GGA level of DFT.

Properties
- Volume: 14.91 Å³/atom
- Mass density: 8.64 Mg/m³
- Calculated formation energy: 1.64 eV/atom
- DFT total energy: -6.255 eV/atom
- Density of states at the Fermi level: 7.37 states/eV/f.u.

a = 4.439 Å, b = 3.783 Å, c = 4.439 Å
α = 90.00°, β = 90.00°, γ = 90.00°
Element x y z (fractional)
As (0.000, 0.000, 0.000)
B (0.000, 0.500, 0.000)
Os (0.500, 0.500, 0.500)
Fe (0.000, 0.000, 0.500)
Fe (0.500, 0.000, 0.000)

No. 6
Computed, not measured: an optimized crystal structure of Er12TmCo6 at the PBE-GGA level of DFT.

Properties
- Volume: 23.75 Å³/atom
- Mass density: 9.31 Mg/m³
- Calculated formation energy: -0.15 eV/atom
- DFT total energy: -5.516 eV/atom
- Density of states at the Fermi level: 16.24 states/eV/f.u.

a = 8.369 Å, b = 8.369 Å, c = 8.369 Å
α = 109.47°, β = 109.47°, γ = 109.47°
Element x y z (fractional)
Er (0.308, 0.114, 0.806)
Er (0.308, 0.502, 0.194)
Er (0.692, 0.498, 0.806)
Er (0.692, 0.886, 0.194)
Er (0.114, 0.806, 0.308)
Er (0.502, 0.194, 0.308)
Er (0.498, 0.806, 0.692)
Er (0.886, 0.194, 0.692)
Er (0.806, 0.308, 0.114)
Er (0.194, 0.308, 0.502)
Er (0.806, 0.692, 0.498)
Er (0.194, 0.692, 0.886)
Tm (0.000, 0.000, 0.000)
Co (0.386, 0.500, 0.886)
Co (0.614, 0.500, 0.114)
Co (0.500, 0.886, 0.386)
Co (0.500, 0.114, 0.614)
Co (0.886, 0.386, 0.500)
Co (0.114, 0.614, 0.500)

No. 7
Computed, not measured: an optimized crystal structure of Ac8AlGe5 at the PBE-GGA level of DFT.

Properties
- Volume: 33.62 Å³/atom
- Mass density: 7.78 Mg/m³
- Calculated formation energy: -0.59 eV/atom
- DFT total energy: -4.857 eV/atom
- Density of states at the Fermi level: 10.31 states/eV/f.u.

a = 8.487 Å, b = 8.487 Å, c = 8.487 Å
α = 109.43°, β = 109.55°, γ = 109.43°
Element x y z (fractional)
Ac (0.125, 0.756, 0.012)
Ac (0.988, 0.113, 0.744)
Ac (0.752, 0.246, 0.371)
Ac (0.629, 0.381, 0.875)
Ac (0.494, 0.619, 0.248)
Ac (0.631, 0.887, 0.875)
Ac (0.256, 0.244, 0.369)
Ac (0.125, 0.754, 0.506)
Al (0.250, 0.500, 0.750)
Ge (0.003, 0.377, 0.128)
Ge (0.872, 0.875, 0.249)
Ge (0.751, 0.623, 0.625)
Ge (0.500, 0.000, 0.500)
Ge (0.375, 0.125, 0.997)